Density functional theory data (PBE) for SrSmPaN3 after structural relaxation.

Lattice parameters (Å, degrees): 6.165 3.624 9.434 90.00 101.65 90.00
Space group P2_1/m (No. 11)
One atom of each set of equivalent atoms:
Sr (0.160, 0.250, 0.192) [2 per cell]
Sm (0.352, 0.250, 0.862) [2 per cell]
Pa (0.264, 0.750, 0.542) [2 per cell]
N (0.046, 0.250, 0.631) [2 per cell]
N (0.273, 0.750, 0.999) [2 per cell]
N (0.475, 0.750, 0.373) [2 per cell]

Volume   206.40 Å³ per cell
Theoretical density   8.2 Mg/m³
Total DFT energy (no corrections)   -97.05 eV/cell


Density functional theory data (PBE) for SrSm3Pa4N12 after structural relaxation.

Lattice parameters (Å, degrees): 8.577 8.577 8.577 90.00 90.00 90.00
Space group Im-3 (No. 204)
One atom of each set of equivalent atoms:
Sr (0.000, 0.000, 0.000) [2 per cell]
Sm (0.000, 0.000, 0.500) [6 per cell]
Pa (0.250, 0.250, 0.250) [8 per cell]
N (0.000, 0.300, 0.203) [24 per cell]

Volume   631.04 Å³ per cell
Theoretical density   8.6 Mg/m³
Total DFT energy (no corrections)   -351.88 eV/cell


Density functional theory data (PBE) for SrSm3Pa2N6 after structural relaxation.

Lattice parameters (Å, degrees): 15.617 3.583 7.171 90.00 103.06 90.00
Space group C2/m (No. 12)
One atom of each set of equivalent atoms:
Sr (0.000, 0.000, 0.000) [2 per cell]
Sm (0.000, 0.000, 0.500) [2 per cell]
Sm (0.168, 0.500, 0.836) [4 per cell]
Pa (0.166, 0.500, 0.332) [4 per cell]
N (0.020, 0.500, 0.276) [4 per cell]
N (0.171, 0.000, 0.570) [4 per cell]
N (0.172, 0.000, 0.110) [4 per cell]

Volume   390.91 Å³ per cell
Theoretical density   9.2 Mg/m³
Total DFT energy (no corrections)   -204.64 eV/cell


Density functional theory data (PBE) for SrSm2PaN4 after structural relaxation.

Lattice parameters (Å, degrees): 6.200 3.609 6.249 90.00 109.06 90.00
Space group P2/m (No. 10)
One atom of each set of equivalent atoms:
Sr (0.000, 0.000, 0.000) [1 per cell]
Sm (0.500, 0.000, 0.500) [1 per cell]
Sm (0.500, 0.500, 0.000) [1 per cell]
Pa (0.000, 0.500, 0.500) [1 per cell]
N (0.238, 0.500, 0.291) [2 per cell]
N (0.241, 0.000, 0.729) [2 per cell]

Volume   132.17 Å³ per cell
Theoretical density   8.5 Mg/m³
Total DFT energy (no corrections)   -64.97 eV/cell


Density functional theory data (PBE) for Sm2PaTaN4 after structural relaxation.

Lattice parameters (Å, degrees): 5.905 3.397 5.988 90.00 108.51 90.00
Space group P2/m (No. 10)
One atom of each set of equivalent atoms:
Sm (0.000, 0.000, 0.000) [1 per cell]
Sm (0.500, 0.500, 0.000) [1 per cell]
Pa (0.000, 0.500, 0.500) [1 per cell]
Ta (0.500, 0.000, 0.500) [1 per cell]
N (0.257, 0.000, 0.713) [2 per cell]
N (0.278, 0.500, 0.294) [2 per cell]

Volume   113.90 Å³ per cell
Theoretical density   11.2 Mg/m³
Total DFT energy (no corrections)   -75.52 eV/cell


Density functional theory data (PBE) for Sm3Pa3TaN8 after structural relaxation.

Lattice parameters (Å, degrees): 6.9118 6.9118 17.1363 90.00 90.00 120.00
Space group R-3m (No. 166, hexagonal axes)
One atom of each set of equivalent atoms:
Sm (0.0000, 0.5000, 0.0000) [9 per cell]
Pa (0.0000, 0.5000, 0.5000) [9 per cell]
Ta (0.0000, 0.0000, 0.5000) [3 per cell]
N (0.0000, 0.0000, 0.2421) [6 per cell]
N (0.0249, 0.5125, 0.2339) [18 per cell]

Volume   708.93 Å³ per cell
Theoretical density   10.1 Mg/m³
Total DFT energy (no corrections)   -429.56 eV/cell


Density functional theory data (PBE) for SmPa2TaN6 after structural relaxation.

Lattice parameters (Å, degrees): 5.8289 5.8289 14.9873 90.00 90.00 120.00
Space group R3 (No. 146, hexagonal axes)
One atom of each set of equivalent atoms:
Sm (0.0000, 0.0000, 0.0000) [3 per cell]
Pa (0.0000, 0.0000, 0.2680) [3 per cell]
Pa (0.0000, 0.0000, 0.7723) [3 per cell]
Ta (0.0000, 0.0000, 0.4804) [3 per cell]
N (0.0287, 0.7413, 0.3745) [9 per cell]
N (0.0363, 0.3378, 0.5349) [9 per cell]

Volume   440.98 Å³ per cell
Theoretical density   9.9 Mg/m³
Total DFT energy (no corrections)   -300.00 eV/cell


Density functional theory data (PBE) for TbSm3Pa2N6 after structural relaxation.

Lattice parameters (Å, degrees): 6.123 10.612 6.143 90.00 109.38 90.00
Space group C2/m (No. 12)
One atom of each set of equivalent atoms:
Tb (0.000, 0.000, 0.000) [2 per cell]
Sm (0.000, 0.166, 0.500) [4 per cell]
Sm (0.000, 0.500, 0.500) [2 per cell]
Pa (0.000, 0.333, 0.000) [4 per cell]
N (0.229, 0.500, 0.225) [4 per cell]
N (0.249, 0.173, 0.225) [8 per cell]

Volume   376.56 Å³ per cell
Theoretical density   10.2 Mg/m³
Total DFT energy (no corrections)   -214.55 eV/cell


Density functional theory data (PBE) for Tb3SmPa2N6 after structural relaxation.

Lattice parameters (Å, degrees): 6.090 10.547 6.072 90.00 109.51 90.00
Space group C2/m (No. 12)
One atom of each set of equivalent atoms:
Tb (0.000, 0.000, 0.000) [2 per cell]
Tb (0.000, 0.335, 0.000) [4 per cell]
Sm (0.000, 0.500, 0.500) [2 per cell]
Pa (0.000, 0.167, 0.500) [4 per cell]
N (0.230, 0.000, 0.740) [4 per cell]
N (0.245, 0.175, 0.262) [8 per cell]

Volume   367.63 Å³ per cell
Theoretical density   10.6 Mg/m³
Total DFT energy (no corrections)   -214.92 eV/cell


Density functional theory data (PBE) for Tb2SmPaN4 after structural relaxation.

Lattice parameters (Å, degrees): 6.064 3.532 6.090 90.00 109.24 90.00
Space group P2/m (No. 10)
One atom of each set of equivalent atoms:
Tb (0.000, 0.000, 0.000) [1 per cell]
Tb (0.000, 0.500, 0.500) [1 per cell]
Sm (0.500, 0.000, 0.500) [1 per cell]
Pa (0.500, 0.500, 0.000) [1 per cell]
N (0.257, 0.500, 0.233) [2 per cell]
N (0.259, 0.000, 0.765) [2 per cell]

Volume   123.13 Å³ per cell
Theoretical density   10.2 Mg/m³
Total DFT energy (no corrections)   -69.90 eV/cell


Density functional theory data (PBE) for SmPaTcN4 after structural relaxation.

Lattice parameters (Å, degrees): 3.854 3.854 12.385 90.00 90.00 90.00
Space group I4mm (No. 107)
One atom of each set of equivalent atoms:
Sm (0.000, 0.000, 0.000) [2 per cell]
Pa (0.000, 0.000, 0.709) [2 per cell]
Tc (0.000, 0.000, 0.352) [2 per cell]
N (0.000, 0.000, 0.182) [2 per cell]
N (0.000, 0.000, 0.539) [2 per cell]
N (0.000, 0.500, 0.350) [4 per cell]

Volume   183.99 Å³ per cell
Theoretical density   9.7 Mg/m³
Total DFT energy (no corrections)   -129.70 eV/cell


Density functional theory data (PBE) for Sm2PaTcN5 after structural relaxation.

Lattice parameters (Å, degrees): 6.566 6.566 11.464 90.00 90.00 90.00
Space group I4/mcm (No. 140)
One atom of each set of equivalent atoms:
Sm (0.168, 0.332, 0.000) [8 per cell]
Pa (0.000, 0.000, 0.250) [4 per cell]
Tc (0.000, 0.500, 0.250) [4 per cell]
N (0.000, 0.000, 0.000) [4 per cell]
N (0.156, 0.344, 0.354) [16 per cell]

Volume   494.29 Å³ per cell
Theoretical density   9.4 Mg/m³
Total DFT energy (no corrections)   -316.66 eV/cell


What is the formula in the sixth record?
Sm3Pa3TaN8